{
  "formula": "Tb2MgCu3",
  "functional": "PBE-GGA",
  "state": "relaxed",
  "m_tot_mub_per_fu": 0.0,
  "formation_energy_ev_per_atom": -0.2054,
  "spacegroup": "P-3m1, No. 164",
  "energy_ev_per_atom": -4.06,
  "n_ef_per_ev_fu": 3.68,
  "lattice_angstrom": [[-2.579, 3.304, -2.341], [0.237, -4.492, -1.678], [-9.418, -2.863, 6.338]],
  "species": ["Tb", "Tb", "Tb", "Tb", "Cu", "Cu", "Cu", "Cu", "Cu", "Cu", "Mg", "Mg"],
  "fractional_positions": [[0.000, 0.000, 0.000], [0.333, 0.667, 0.180], [0.667, 0.333, 0.820], [0.000, 0.000, 0.500], [0.333, 0.667, 0.425], [0.333, 0.667, 0.917], [0.000, 0.000, 0.253], [0.667, 0.333, 0.575], [0.667, 0.333, 0.083], [0.000, 0.000, 0.747], [0.333, 0.667, 0.663], [0.667, 0.333, 0.337]]
}